BaBeNO2 after structural relaxation, computed with PBE.

Unit cell a=4.0276 b=4.0276 c=3.7919 alpha=90.00 beta=90.00 gamma=90.00
Last column: nearest neighbours and their distance in Å.
Element x y z (fractional)
Be1 0.0000 0.0000 0.0000  2 N 1.90, 4 O 2.01
Ba1 0.5000 0.5000 0.5000  8 O 2.77, 4 N 2.85
O1 0.0000 0.5000 0.0000  2 Be 2.01
O2 0.5000 0.0000 0.0000  2 Be 2.01
N1 0.0000 0.0000 0.5000  2 Be 1.90

Computed properties:
Space-group type: P4/mmm (123)
Uncorrected formation energy (eV/atom): -0.80
Volume (Å³ per cell): 62
Mass density (Mg/m³): 5.19
E (eV/atom): -5.573

SiTcOs2 after structural relaxation, computed with PBE.

Unit cell a=4.3004 b=4.3004 c=4.3004 alpha=60.00 beta=60.00 gamma=60.00
Last column: nearest neighbours and their distance in Å.
Element x y z (fractional)
Os1 0.0000 0.0000 0.0000  4 Tc 2.63, 4 Os 2.63
Os2 0.2500 0.2500 0.2500  4 Os 2.63, 4 Si 2.63
Si1 0.5000 0.5000 0.5000  4 Tc 2.63, 4 Os 2.63
Tc1 0.7500 0.7500 0.7500  4 Os 2.63, 4 Si 2.63

Computed properties:
Space-group type: F-43m (216)
Uncorrected formation energy (eV/atom): 0.19
Volume (Å³ per cell): 56
Mass density (Mg/m³): 14.96
E (eV/atom): -9.370

BeAgPt2 after structural relaxation, computed with PBE.

Unit cell a=8.6389 b=8.6389 c=8.6389 alpha=18.67 beta=18.67 gamma=18.67
Last column: nearest neighbours and their distance in Å.
Element x y z (fractional)
Be1 0.7500 0.7500 0.7500  6 Pt 2.38
Ag1 0.2500 0.2500 0.2500  6 Ag 2.80, 6 Pt 2.98
Pt1 0.0150 0.0150 0.0150  3 Be 2.38
Pt2 0.4850 0.4850 0.4850  3 Be 2.38

Computed properties:
ΔE_f (eV per atom): -0.372
Space-group type: R-3m (166)
Volume (Å³ per cell): 58
Mass density (Mg/m³): 14.59
E (eV/atom): -5.037

La3MgAg after structural relaxation, computed with PBE.

Unit cell a=5.4735 b=5.4729 c=10.7147 alpha=90.00 beta=75.20 gamma=90.00
Last column: nearest neighbours and their distance in Å.
Element x y z (fractional)
La1 0.7611 0.2500 0.1262  2 Mg 3.31, 2 Ag 3.35
La2 0.3826 0.2500 0.8832  2 Mg 3.36, 2 Ag 3.41, 4 La 3.65-3.72
La3 0.5734 0.2500 0.5016  4 Ag 3.34-3.36, 4 Mg 3.39-3.41
La4 0.2657 0.7500 0.1168  2 Mg 3.36, 2 Ag 3.41, 4 La 3.65-3.72
La5 0.8873 0.7500 0.8738  2 Mg 3.31, 2 Ag 3.35
La6 0.0750 0.7500 0.4984  4 Ag 3.34-3.36, 4 Mg 3.39-3.41
Mg1 0.4770 0.7500 0.6944  8 La 3.31-3.41
Mg2 0.1714 0.2500 0.3056  8 La 3.31-3.41
Ag1 0.6675 0.7500 0.3134  8 La 3.34-3.41
Ag2 0.9809 0.2500 0.6866  8 La 3.34-3.41

Computed properties:
ΔE_f (eV per atom): -0.109
Space-group type: Cmcm (63)
Volume (Å³ per cell): 310
Mass density (Mg/m³): 5.87
E (eV/atom): -3.954

BeCo2Br after structural relaxation, computed with PBE.

Unit cell a=3.7219 b=3.7219 c=8.1192 alpha=76.75 beta=76.75 gamma=90.00
Last column: nearest neighbours and their distance in Å.
Element x y z (fractional)
Be1 0.5000 0.5000 0.0000  4 Co 2.28
Be2 0.2500 0.7500 0.5000  4 Co 2.28
Co1 0.5901 0.1250 0.2500  2 Be 2.28, 2 Br 2.38, 2 Co 2.45
Co2 0.1599 0.6250 0.2500  2 Be 2.28, 2 Br 2.38, 2 Co 2.45
Co3 0.3750 0.4099 0.7500  2 Be 2.28, 2 Br 2.38, 2 Co 2.45
Co4 0.8750 0.8401 0.7500  2 Be 2.28, 2 Br 2.38, 2 Co 2.45
Br1 0.0000 0.0000 0.0000  4 Co 2.38, 4 Be 2.63
Br2 0.7500 0.2500 0.5000  4 Co 2.38, 4 Be 2.63

Computed properties:
Space-group type: I-42d (122)
Uncorrected formation energy (eV/atom): 0.69
Volume (Å³ per cell): 106
Mass density (Mg/m³): 6.45
E (eV/atom): -4.216

PrYScTe3 after structural relaxation, computed with PBE.

Unit cell a=4.3252 b=8.8379 c=9.9598 alpha=104.61 beta=90.00 gamma=90.00
Last column: nearest neighbours and their distance in Å.
Element x y z (fractional)
Pr1 0.2500 0.1774 0.2368  7 Te 3.25-3.39
Pr2 0.7500 0.8226 0.7632  7 Te 3.25-3.39
Y1 0.2500 0.6698 0.1661  6 Te 3.08-3.23
Y2 0.7500 0.3302 0.8339  6 Te 3.08-3.23
Sc1 0.2500 0.0894 0.5935  4 Te 2.89-3.00, 2 Sc 3.03
Sc2 0.7500 0.9106 0.4065  4 Te 2.89-3.00, 2 Sc 3.03
Te1 0.7500 0.9028 0.1144  1 Sc 2.89, 2 Y 3.12
Te2 0.2500 0.0972 0.8856  1 Sc 2.89, 2 Y 3.12
Te3 0.2500 0.7385 0.5002  3 Sc 2.93-3.00, 1 Y 3.23
Te4 0.7500 0.2615 0.4998  3 Sc 2.93-3.00, 1 Y 3.23
Te5 0.7500 0.4203 0.1608  3 Y 3.08-3.15, 2 Pr 3.27
Te6 0.2500 0.5797 0.8392  3 Y 3.08-3.15, 2 Pr 3.27

Computed properties:
Space-group type: P2_1/m (11)
Uncorrected formation energy (eV/atom): -1.22
Volume (Å³ per cell): 368
Mass density (Mg/m³): 5.93
E (eV/atom): -5.724

SbAsCl2 after structural relaxation, computed with PBE.

Unit cell a=5.7299 b=5.7299 c=5.7299 alpha=146.40 beta=120.00 gamma=70.56
Last column: nearest neighbours and their distance in Å.
Element x y z (fractional)
Sb1 0.2500 0.7500 0.5000  4 Cl 2.90
As1 0.7500 0.2500 0.5000  4 Cl 2.83
Cl1 0.9956 0.9956 0.0000  2 As 2.83, 2 Sb 2.90
Cl2 0.5044 0.5044 0.0000  2 As 2.83, 2 Sb 2.90

Computed properties:
Space-group type: Immm (71)
Uncorrected formation energy (eV/atom): 0.04
Volume (Å³ per cell): 89
Mass density (Mg/m³): 5.01
E (eV/atom): -3.077

Sr2Zn6IrPd after structural relaxation, computed with PBE.

Unit cell a=6.8755 b=6.8789 c=6.8826 alpha=60.04 beta=60.05 gamma=89.99
Last column: nearest neighbours and their distance in Å.
Element x y z (fractional)
Sr1 0.7500 0.2502 0.4998  12 Zn 3.44
Sr2 0.2500 0.7498 0.5002  12 Zn 3.44
Zn1 0.2506 0.2506 0.4992  1 Ir 2.43, 1 Pd 2.44
Zn2 0.7495 0.7496 0.0002  1 Ir 2.43, 1 Pd 2.43
Zn3 0.2504 0.7498 0.0000  1 Ir 2.43, 1 Pd 2.43
Zn4 0.7496 0.2502 0.0000  1 Ir 2.43, 1 Pd 2.43
Zn5 0.2505 0.2504 0.9998  1 Ir 2.43, 1 Pd 2.43
Zn6 0.7494 0.7494 0.5008  1 Ir 2.43, 1 Pd 2.44
Ir1 0.5000 0.5000 0.0000  6 Zn 2.43
Pd1 0.0000 0.0000 0.0000  6 Zn 2.43-2.44

Computed properties:
ΔE_f (eV per atom): -0.289
Space-group type: I4/mmm (139)
Volume (Å³ per cell): 231
Mass density (Mg/m³): 6.24
E (eV/atom): -2.795

RbTlPb after structural relaxation, computed with PBE.

Unit cell a=13.9994 b=8.3134 c=8.3134 alpha=147.93 beta=146.76 gamma=33.24
Last column: nearest neighbours and their distance in Å.
Element x y z (fractional)
Pb1 0.7771 0.5950 0.4050  2 Pb 3.19, 3 Tl 3.28-3.31
Pb2 0.8712 0.8910 0.1090  2 Pb 3.19, 3 Tl 3.31-3.36
Tl1 0.4400 0.3175 0.6825  3 Pb 3.31-3.36, 2 Tl 3.32
Tl2 0.5412 0.5970 0.4030  3 Pb 3.28-3.31, 2 Tl 3.32
Rb1 0.3268 0.0981 0.9019  4 Tl 3.77-3.94, 4 Pb 3.99-4.02
Rb2 0.9946 0.0975 0.9025  4 Pb 3.84-4.02, 4 Tl 3.95-4.00

Computed properties:
ΔE_f (eV per atom): -0.141
Space-group type: Cm (8)
Volume (Å³ per cell): 253
Mass density (Mg/m³): 6.52
E (eV/atom): -2.489

SrZr3Re after structural relaxation, computed with PBE.

Unit cell a=4.9384 b=4.9384 c=4.9384 alpha=90.00 beta=90.00 gamma=90.00
Last column: nearest neighbours and their distance in Å.
Element x y z (fractional)
Re1 0.5000 0.5000 0.5000  12 Zr 3.49
Zr1 0.0000 0.5000 0.0000  2 Sr 2.47
Zr2 0.0000 0.0000 0.5000  2 Sr 2.47
Zr3 0.5000 0.0000 0.0000  2 Sr 2.47
Sr1 0.0000 0.0000 0.0000  6 Zr 2.47

Computed properties:
ΔE_f (eV per atom): 2.404
Space-group type: Pm-3m (221)
Volume (Å³ per cell): 120
Mass density (Mg/m³): 7.55
E (eV/atom): -5.551

TbHoTe after structural relaxation, computed with PBE.

Unit cell a=4.3654 b=4.3656 c=8.6579 alpha=89.99 beta=90.00 gamma=90.00
Last column: nearest neighbours and their distance in Å.
Element x y z (fractional)
Te1 0.7500 0.7499 0.2759  5 Ho 3.11-3.18, 4 Tb 3.24
Te2 0.2500 0.2501 0.7241  5 Ho 3.11-3.18, 4 Tb 3.24
Tb1 0.7500 0.2500 0.0000  4 Tb 3.09, 4 Te 3.24
Tb2 0.2500 0.7500 0.0000  4 Tb 3.09, 4 Te 3.24
Ho1 0.7500 0.7501 0.6351  5 Te 3.11-3.18
Ho2 0.2500 0.2499 0.3649  5 Te 3.11-3.18

Computed properties:
Space-group type: P4/nmm (129)
Uncorrected formation energy (eV/atom): -0.79
Volume (Å³ per cell): 165
Mass density (Mg/m³): 9.09
E (eV/atom): -4.905

Mg2MoPb2 after structural relaxation, computed with PBE.

Unit cell a=7.5509 b=7.5509 c=4.0978 alpha=90.00 beta=90.00 gamma=90.00
Last column: nearest neighbours and their distance in Å.
Element x y z (fractional)
Pb1 0.1677 0.6677 0.5000  6 Mg 2.90-3.11
Pb2 0.6677 0.8323 0.5000  6 Mg 2.90-3.11
Pb3 0.8323 0.3323 0.5000  6 Mg 2.90-3.11
Pb4 0.3323 0.1677 0.5000  6 Mg 2.90-3.11
Mo1 0.0000 0.0000 0.0000  4 Mg 2.92
Mo2 0.5000 0.5000 0.0000  4 Mg 2.92
Mg1 0.3598 0.8598 0.0000  6 Pb 2.90-3.11, 2 Mo 2.92, 1 Mg 2.99
Mg2 0.8598 0.6402 0.0000  6 Pb 2.90-3.11, 2 Mo 2.92, 1 Mg 2.99
Mg3 0.6402 0.1402 0.0000  6 Pb 2.90-3.11, 2 Mo 2.92, 1 Mg 2.99
Mg4 0.1402 0.3598 0.0000  6 Pb 2.90-3.11, 2 Mo 2.92, 1 Mg 2.99

Computed properties:
ΔE_f (eV per atom): 0.598
Space-group type: P4/mbm (127)
Volume (Å³ per cell): 234
Mass density (Mg/m³): 7.95
E (eV/atom): -3.689

AcHo6ErTm2 after structural relaxation, computed with PBE.

Unit cell a=9.4126 b=8.8382 c=8.8382 alpha=117.29 beta=92.34 gamma=92.34
Last column: nearest neighbours and their distance in Å.
Element x y z (fractional)
Ac1 0.2500 0.9682 0.0318  4 Tm 3.44-3.58, 6 Ho 3.62-3.80
Ac2 0.7500 0.0318 0.9682  4 Tm 3.44-3.58, 6 Ho 3.62-3.80
Ho1 0.0574 0.1284 0.7531  7 Ho 3.41-3.78, 1 Tm 3.55, 2 Ac 3.79-3.80
Ho2 0.4426 0.2469 0.8716  7 Ho 3.41-3.78, 1 Tm 3.55, 2 Ac 3.79-3.80
Ho3 0.9426 0.8716 0.2469  7 Ho 3.41-3.78, 1 Tm 3.55, 2 Ac 3.79-3.80
Ho4 0.5574 0.7531 0.1284  7 Ho 3.41-3.78, 1 Tm 3.55, 2 Ac 3.79-3.80
Ho5 0.3196 0.9888 0.4474  5 Ho 3.21-3.58, 2 Tm 3.39-3.46, 1 Er 3.47
Ho6 0.1804 0.5526 0.0112  5 Ho 3.21-3.58, 2 Tm 3.39-3.46, 1 Er 3.47
Ho7 0.6804 0.0112 0.5526  5 Ho 3.21-3.58, 2 Tm 3.39-3.46, 1 Er 3.47
Ho8 0.8196 0.4474 0.9888  5 Ho 3.21-3.58, 2 Tm 3.39-3.46, 1 Er 3.47
Ho9 0.1148 0.7126 0.4878  4 Ho 3.21-3.43, 3 Tm 3.24-3.41, 2 Er 3.42-3.51
Ho10 0.3852 0.5122 0.2874  4 Ho 3.21-3.43, 3 Tm 3.24-3.41, 2 Er 3.42-3.51
Ho11 0.8852 0.2874 0.5122  4 Ho 3.21-3.43, 3 Tm 3.24-3.41, 2 Er 3.42-3.51
Ho12 0.6148 0.4878 0.7126  4 Ho 3.21-3.43, 3 Tm 3.24-3.41, 2 Er 3.42-3.51
Er1 0.2500 0.4129 0.5871  6 Ho 3.42-3.51, 4 Tm 3.52-3.74
Er2 0.7500 0.5871 0.4129  6 Ho 3.42-3.51, 4 Tm 3.52-3.74
Tm1 0.4499 0.7954 0.6822  6 Ho 3.24-3.55, 2 Ac 3.44-3.58, 1 Er 3.52
Tm2 0.0501 0.3178 0.2046  6 Ho 3.24-3.55, 2 Ac 3.44-3.58, 1 Er 3.52
Tm3 0.5501 0.2046 0.3178  6 Ho 3.24-3.55, 2 Ac 3.44-3.58, 1 Er 3.52
Tm4 0.9499 0.6822 0.7954  6 Ho 3.24-3.55, 2 Ac 3.44-3.58, 1 Er 3.52

Computed properties:
ΔE_f (eV per atom): 0.133
Space-group type: C2/c (15)
Volume (Å³ per cell): 651
Mass density (Mg/m³): 8.78
E (eV/atom): -4.376

Li3ZnPd after structural relaxation, computed with PBE.

Unit cell a=2.7585 b=4.7048 c=7.2352 alpha=108.97 beta=90.00 gamma=90.00
Last column: nearest neighbours and their distance in Å.
Element x y z (fractional)
Li1 0.5000 0.3547 0.2065  2 Li 2.34-2.37, 1 Pd 2.48
Li2 0.5000 0.8518 0.2065  2 Li 2.34-2.37, 1 Pd 2.48
Li3 0.0000 0.7849 0.5698  2 Pd 2.58, 2 Li 2.76
Zn1 0.0000 0.4366 0.8731  4 Pd 2.73, 2 Zn 2.76, 4 Li 2.91
Pd1 0.5000 0.9440 0.8879  4 Li 2.48-2.58, 4 Zn 2.73, 2 Pd 2.76

Computed properties:
ΔE_f (eV per atom): -0.123
Space-group type: Amm2 (38)
Volume (Å³ per cell): 89
Mass density (Mg/m³): 3.60
E (eV/atom): -2.565

Sc3GaTc after structural relaxation, computed with PBE.

Unit cell a=4.9814 b=4.9814 c=4.9814 alpha=90.00 beta=90.00 gamma=90.00
Last column: nearest neighbours and their distance in Å.
Element x y z (fractional)
Sc1 0.0000 0.5000 0.0000  2 Tc 2.49
Sc2 0.0000 0.0000 0.5000  2 Tc 2.49
Sc3 0.5000 0.0000 0.0000  2 Tc 2.49
Tc1 0.0000 0.0000 0.0000  6 Sc 2.49
Ga1 0.5000 0.5000 0.5000  12 Sc 3.52

Computed properties:
ΔE_f (eV per atom): 0.150
Space-group type: Pm-3m (221)
Volume (Å³ per cell): 124
Mass density (Mg/m³): 4.06
E (eV/atom): -6.327

NpTiBiO6 after structural relaxation, computed with PBE.

Unit cell a=5.4856 b=5.4856 c=9.8273 alpha=90.00 beta=90.00 gamma=120.00
Last column: nearest neighbours and their distance in Å.
Element x y z (fractional)
Np1 0.3333 0.6667 0.2500  6 O 2.14
Np2 0.6667 0.3333 0.7500  6 O 2.14
Ti1 0.6667 0.3333 0.2500  6 O 2.00
Ti2 0.3333 0.6667 0.7500  6 O 2.00
Bi1 0.0000 0.0000 0.0000  6 O 2.41
Bi2 0.0000 0.0000 0.5000  6 O 2.41
O1 0.6496 0.6306 0.1402  1 Ti 2.00, 1 Np 2.14
O2 0.9809 0.3504 0.1402  1 Ti 2.00, 1 Np 2.14
O3 0.3504 0.9809 0.6402  1 Ti 2.00, 1 Np 2.14
O4 0.0191 0.6496 0.8598  1 Ti 2.00, 1 Np 2.14
O5 0.3694 0.3504 0.3598  1 Ti 2.00, 1 Np 2.14
O6 0.9809 0.6306 0.3598  1 Ti 2.00, 1 Np 2.14
O7 0.6306 0.9809 0.8598  1 Ti 2.00, 1 Np 2.14
O8 0.6496 0.0191 0.3598  1 Ti 2.00, 1 Np 2.14
O9 0.0191 0.3694 0.6402  1 Ti 2.00, 1 Np 2.14
O10 0.3694 0.0191 0.1402  1 Ti 2.00, 1 Np 2.14
O11 0.6306 0.6496 0.6402  1 Ti 2.00, 1 Np 2.14
O12 0.3504 0.3694 0.8598  1 Ti 2.00, 1 Np 2.14

Computed properties:
Space-group type: P-31c (163)
Uncorrected formation energy (eV/atom): -2.46
Volume (Å³ per cell): 256
Mass density (Mg/m³): 7.65
E (eV/atom): -8.508

DyY2Ni2 after structural relaxation, computed with PBE.

Unit cell a=3.7484 b=5.5445 c=6.0444 alpha=103.65 beta=108.06 gamma=90.00
Last column: nearest neighbours and their distance in Å.
Element x y z (fractional)
Dy1 0.0000 0.0000 0.0000  4 Ni 3.01
Y1 0.3530 0.4126 0.7060  4 Ni 2.76-2.92
Y2 0.6470 0.5874 0.2940  4 Ni 2.76-2.92
Ni1 0.7118 0.1100 0.4236  2 Ni 2.51, 3 Y 2.76-2.81
Ni2 0.2882 0.8900 0.5764  2 Ni 2.51, 3 Y 2.76-2.81

Computed properties:
ΔE_f (eV per atom): -0.214
Space-group type: C2/m (12)
Volume (Å³ per cell): 116
Mass density (Mg/m³): 6.57
E (eV/atom): -6.033

Mo3PSe after structural relaxation, computed with PBE.

Unit cell a=4.5070 b=4.5070 c=4.5070 alpha=90.00 beta=90.00 gamma=90.00
Last column: nearest neighbours and their distance in Å.
Element x y z (fractional)
P1 0.0000 0.0000 0.0000  6 Mo 2.25
Mo1 0.0000 0.5000 0.0000  2 P 2.25
Mo2 0.0000 0.0000 0.5000  2 P 2.25
Mo3 0.5000 0.0000 0.0000  2 P 2.25
Se1 0.5000 0.5000 0.5000  12 Mo 3.19

Computed properties:
Space-group type: Pm-3m (221)
Uncorrected formation energy (eV/atom): 0.73
Volume (Å³ per cell): 92
Mass density (Mg/m³): 7.21
E (eV/atom): -7.543

PaBeFe2Si2 after structural relaxation, computed with PBE.

Unit cell a=3.9684 b=3.9684 c=5.1831 alpha=90.00 beta=90.00 gamma=90.00
Last column: nearest neighbours and their distance in Å.
Element x y z (fractional)
Pa1 0.0000 0.0000 0.5000  2 Be 2.59
Be1 0.0000 0.0000 0.0000  4 Fe 1.98
Fe1 0.5000 0.0000 0.0000  2 Be 1.98
Fe2 0.0000 0.5000 0.0000  2 Be 1.98
Si1 0.5000 0.5000 0.7382  4 Fe 2.40, 1 Si 2.47
Si2 0.5000 0.5000 0.2618  4 Fe 2.40, 1 Si 2.47

Computed properties:
Space-group type: P4/mmm (123)
Uncorrected formation energy (eV/atom): -0.36
Volume (Å³ per cell): 82
Mass density (Mg/m³): 8.30
E (eV/atom): -7.197

Ti2CdAg after structural relaxation, computed with PBE.

Unit cell a=2.9456 b=2.9456 c=8.3540 alpha=90.00 beta=90.00 gamma=90.00
Last column: nearest neighbours and their distance in Å.
Element x y z (fractional)
Ti1 0.0000 0.0000 0.7594  4 Ag 2.89, 4 Ti 2.95, 4 Cd 3.01
Ti2 0.0000 0.0000 0.2406  4 Ag 2.89, 4 Ti 2.95, 4 Cd 3.01
Ag1 0.5000 0.5000 0.0000  8 Ti 2.89, 4 Ag 2.95
Cd1 0.5000 0.5000 0.5000  4 Cd 2.95, 8 Ti 3.01

Computed properties:
ΔE_f (eV per atom): 0.074
Space-group type: P4/mmm (123)
Volume (Å³ per cell): 72
Mass density (Mg/m³): 7.24
E (eV/atom): -4.815